First-principles (PBE-GGA) data for a relaxed structure of LiTbGa4, as listed in Alexandria.

Cell: 4.303 5.608 5.609 Å, 74.71 67.44 67.44°
Fractional coordinates of all 6 atoms:
Li (0.000, 0.500, 0.000)
Tb (0.000, 0.000, 0.500)
Ga (0.665, 0.540, 0.631)
Ga (0.335, 0.460, 0.369)
Ga (0.335, 0.869, 0.960)
Ga (0.665, 0.131, 0.040)

The value obtained for the formation energy is -459.3 meV per atom. Its symmetry is Immm (71).



First-principles (PBE-GGA) data for a relaxed structure of PmDy7Er3, as listed in Alexandria.

Cell: 8.559 7.037 7.037 Å, 120.00 90.00 90.00°
Fractional coordinates of all 11 atoms:
Pm (0.446, 0.333, 0.667)
Dy (0.115, 0.168, 0.832)
Dy (0.115, 0.168, 0.336)
Dy (0.120, 0.667, 0.333)
Dy (0.450, 0.832, 0.168)
Dy (0.450, 0.336, 0.168)
Dy (0.450, 0.832, 0.664)
Dy (0.115, 0.664, 0.832)
Er (0.784, 0.500, 0.500)
Er (0.784, 0.500, 0.001)
Er (0.784, 0.999, 0.500)

The value obtained for the formation energy is 195.5 meV per atom. Its symmetry is P3m1 (156).



First-principles (PBE-GGA) data for a relaxed structure of SrCaNF2, as listed in Alexandria.

Cell: 4.308 4.308 4.733 Å, 90.00 90.00 90.00°
Last column: magnetic moment on the atom in μB.
Fractional coordinates of all 5 atoms:
Sr (0.500, 0.500, 0.500)  -0.01
Ca (0.000, 0.000, 0.000)  0.02
N (0.000, 0.000, 0.500)  0.63
F (0.000, 0.500, 0.000)  0.01
F (0.500, 0.000, 0.000)  0.01

The uncorrected formation energy comes out at -2.1423 eV per atom. Its symmetry is P4/mmm (123).



First-principles (PBE-GGA) data for a relaxed structure of AcZrZn, as listed in Alexandria.

Cell: 5.107 3.607 12.363 Å, 90.00 90.00 135.07°
Fractional coordinates of all 6 atoms:
Zn (0.694, 0.389, 0.000)
Zn (0.194, 0.389, 0.500)
Ac (0.694, 0.389, 0.322)
Ac (0.694, 0.389, 0.678)
Zr (0.194, 0.389, 0.879)
Zr (0.194, 0.389, 0.121)

The value obtained for the formation energy is 5.4 meV per atom. Its symmetry is Cmmm (65).



Record-wise calculated volume values, in Å³ per cell: 114; 367; 88; 161
Record-wise DOS(E_F) values, in states/eV per atom: 0.30; 1.58; 0.69; 1.08